Entry 1:
Below is a relaxed structure of CaRe2Pb, with properties calculated at the PBE level.

Crystal system = tetragonal
E_tot = -6.5719 eV/atom

Cell lengths 3.715, 3.715, 6.380 Å; angles 90.00, 90.00, 90.00 degrees
Space group P4/mmm (No. 123)
Symmetry-distinct sites (fractional):
Ca (0.000, 0.000, 0.000)
Re (0.500, 0.500, 0.313)
Pb (0.000, 0.000, 0.500)



Entry 2:
Below is a relaxed structure of Ho2TcN4, with properties calculated at the PBE level.

Crystal system = monoclinic
E_tot = -8.3885 eV/atom
Energy relative to the elements, uncorrected = -0.842 eV per atom

Cell lengths 5.785, 5.795, 6.449 Å; angles 90.00, 107.41, 90.00 degrees
Space group P2_1/m (No. 11)
Symmetry-distinct sites (fractional):
Ho (0.167, 0.250, 0.036)
Ho (0.230, 0.250, 0.556)
Tc (0.292, 0.750, 0.814)
N (0.044, 0.514, 0.754)
N (0.471, 0.750, 0.093)
N (0.485, 0.750, 0.639)



Entry 3:
Below is a relaxed structure of NdIn5Pd3, with properties calculated at the PBE level.

Crystal system = orthorhombic
E_tot = -4.1668 eV/atom

Cell lengths 3.756, 14.731, 14.705 Å; angles 90.00, 90.00, 90.00 degrees
Space group Cmcm (No. 63)
Symmetry-distinct sites (fractional):
Nd (0.000, 0.159, 0.250)
In (0.000, 0.000, 0.000)
In (0.000, 0.199, 0.568)
In (0.000, 0.452, 0.155)
Pd (0.000, 0.159, 0.750)
Pd (0.000, 0.381, 0.571)



Entry 4:
Below is a relaxed structure of LiMgNi3, with properties calculated at the PBE level.

Crystal system = cubic
Relative energy among the computed polymorphs = 0.00 eV per formula unit
E_tot = -3.6942 eV/atom

Cell lengths 4.016, 4.016, 4.016 Å; angles 90.00, 90.00, 90.00 degrees
Space group Pm-3m (No. 221)
Symmetry-distinct sites (fractional):
Li (0.000, 0.000, 0.000)
Mg (0.500, 0.500, 0.500)
Ni (0.000, 0.000, 0.500)



Entry 5:
Below is a relaxed structure of AlReSb2, with properties calculated at the PBE level.

Crystal system = trigonal
E_tot = -5.8393 eV/atom
Energy relative to the elements, uncorrected = 0.270 eV per atom

Cell lengths 3.1866, 3.1866, 29.1020 Å; angles 90.00, 90.00, 120.00 degrees
Space group R3m (No. 160, hexagonal axes)
Symmetry-distinct sites (fractional):
Al (0.0000, 0.0000, 0.0000)
Re (0.0000, 0.0000, 0.7325)
Sb (0.0000, 0.0000, 0.2514)
Sb (0.0000, 0.0000, 0.4692)



Entry 6:
Below is a relaxed structure of Ba8PdO2, with properties calculated at the PBE level.

Crystal system = monoclinic
E_tot = -3.7691 eV/atom
Energy relative to the elements, uncorrected = -0.997 eV per atom

Cell lengths 15.318, 9.834, 7.500 Å; angles 90.00, 92.68, 90.00 degrees
Space group C2/m (No. 12)
Symmetry-distinct sites (fractional):
Ba (0.104, 0.208, 0.267)
Ba (0.159, 0.500, 0.765)
Ba (0.161, 0.000, 0.801)
Pd (0.000, 0.000, 0.500)
O (0.184, 0.000, 0.145)



Entry 7:
Below is a relaxed structure of TmTc6Ge8, with properties calculated at the PBE level.

Crystal system = trigonal
E_tot = -6.9165 eV/atom

Cell lengths 8.7433, 8.7433, 12.3483 Å; angles 90.00, 90.00, 120.00 degrees
Space group R-3 (No. 148, hexagonal axes)
Symmetry-distinct sites (fractional):
Tm (0.0000, 0.0000, 0.0000)
Tc (0.0102, 0.8295, 0.4067)
Ge (0.0000, 0.0000, 0.2346)
Ge (0.0072, 0.6844, 0.9045)



Entry 8:
Below is a relaxed structure of Tb12Tm7Al, with properties calculated at the PBE level.

Crystal system = trigonal
E_tot = -4.4047 eV/atom

Cell lengths 14.6842, 14.6842, 9.9941 Å; angles 90.00, 90.00, 120.00 degrees
Space group R-3 (No. 148, hexagonal axes)
Symmetry-distinct sites (fractional):
Tb (0.0422, 0.2548, 0.0730)
Tb (0.0437, 0.1881, 0.7530)
Tm (0.0000, 0.0000, 0.0000)
Tm (0.0673, 0.2358, 0.4282)
Al (0.0000, 0.0000, 0.5000)



Entry 9:
Below is a relaxed structure of ErGa2Ru2, with properties calculated at the PBE level.

Crystal system = tetragonal
Relative energy among the computed polymorphs = 0.11 eV per formula unit
E_tot = -6.2591 eV/atom

Cell lengths 3.981, 3.981, 22.405 Å; angles 90.00, 90.00, 90.00 degrees
Space group I4/mmm (No. 139)
Symmetry-distinct sites (fractional):
Er (0.000, 0.000, 0.129)
Ga (0.000, 0.000, 0.320)
Ga (0.000, 0.500, 0.000)
Ru (0.000, 0.000, 0.432)
Ru (0.000, 0.500, 0.250)



Entry 10:
Below is a relaxed structure of Sr2MgTlO5, with properties calculated at the PBE level.

Crystal system = orthorhombic
E_tot = -5.4664 eV/atom
Energy relative to the elements, uncorrected = -1.898 eV per atom

Cell lengths 3.585, 14.160, 10.837 Å; angles 90.00, 90.00, 90.00 degrees
Space group Cmc2_1 (No. 36)
Symmetry-distinct sites (fractional):
Sr (0.000, 0.095, 0.000)
Sr (0.000, 0.136, 0.640)
Mg (0.000, 0.231, 0.367)
Tl (0.000, 0.454, 0.801)
O (0.000, 0.079, 0.408)
O (0.000, 0.269, 0.995)
O (0.000, 0.290, 0.767)
O (0.000, 0.378, 0.336)
O (0.000, 0.497, 0.612)



Entry 11:
Below is a relaxed structure of PrTmOsAu, with properties calculated at the PBE level.

Crystal system = cubic
E_tot = -6.2998 eV/atom

Cell lengths 7.098, 7.098, 7.098 Å; angles 90.00, 90.00, 90.00 degrees
Space group F-43m (No. 216)
Symmetry-distinct sites (fractional):
Pr (0.000, 0.000, 0.000)
Tm (0.000, 0.000, 0.500)
Os (0.250, 0.250, 0.250)
Au (0.250, 0.250, 0.750)



Entry 12:
Below is a relaxed structure of ReAsBr2N, with properties calculated at the PBE level.

Crystal system = tetragonal
Relative energy among the computed polymorphs = 0.42 eV per formula unit
E_tot = -3.8839 eV/atom
Energy relative to the elements, uncorrected = 1.870 eV per atom

Cell lengths 4.329, 4.329, 4.503 Å; angles 90.00, 90.00, 90.00 degrees
Space group P4/mmm (No. 123)
Symmetry-distinct sites (fractional):
Re (0.000, 0.000, 0.000)
As (0.500, 0.500, 0.000)
Br (0.000, 0.500, 0.500)
N (0.500, 0.500, 0.500)



Entry 13:
Below is a relaxed structure of TbDy14Al, with properties calculated at the PBE level.

Crystal system = orthorhombic
E_tot = -4.5469 eV/atom

Cell lengths 10.773, 8.355, 10.908 Å; angles 90.00, 90.00, 90.00 degrees
Space group Amm2 (No. 38)
Symmetry-distinct sites (fractional):
Tb (0.000, 0.000, 0.000)
Dy (0.000, 0.205, 0.269)
Dy (0.219, 0.000, 0.765)
Dy (0.238, 0.205, 0.486)
Dy (0.275, 0.000, 0.203)
Dy (0.500, 0.000, 0.425)
Dy (0.500, 0.000, 0.974)
Dy (0.500, 0.200, 0.703)
Al (0.000, 0.000, 0.551)



Entry 14:
Below is a relaxed structure of MnAgSe2, with properties calculated at the PBE level.

Crystal system = triclinic
E_tot = -4.9649 eV/atom
Energy relative to the elements, uncorrected = -0.217 eV per atom

Cell lengths 3.369, 6.726, 7.678 Å; angles 84.86, 89.87, 75.90 degrees
Space group P1 (No. 1)
Symmetry-distinct sites (fractional):
Mn (0.000, 0.000, 0.000)
Mn (0.462, 0.081, 0.723)
Ag (0.012, 0.973, 0.402)
Ag (0.809, 0.385, 0.231)
Se (0.094, 0.809, 0.755)
Se (0.369, 0.268, 0.971)
Se (0.600, 0.795, 0.175)
Se (0.850, 0.312, 0.573)



Entry 15:
Below is a relaxed structure of Hg5Au3I12, with properties calculated at the PBE level.

Crystal system = cubic
E_tot = -1.5108 eV/atom
Energy relative to the elements, uncorrected = -0.014 eV per atom

Cell lengths 18.960, 18.960, 18.960 Å; angles 90.00, 90.00, 90.00 degrees
Space group Ia-3d (No. 230)
Symmetry-distinct sites (fractional):
Hg (0.000, 0.000, 0.000)
Hg (0.000, 0.250, 0.375)
Au (0.000, 0.250, 0.125)
I (0.011, 0.024, 0.343)



Entry 16:
Below is a relaxed structure of Nd3Y, with properties calculated at the PBE level.

Crystal system = monoclinic
Relative energy among the computed polymorphs = 0.06 eV per formula unit
E_tot = -5.1795 eV/atom

Cell lengths 7.303, 3.650, 10.341 Å; angles 90.00, 90.17, 90.00 degrees
Space group P2_1/m (No. 11)
Symmetry-distinct sites (fractional):
Nd (0.123, 0.250, 0.373)
Nd (0.374, 0.750, 0.123)
Nd (0.374, 0.750, 0.626)
Y (0.124, 0.250, 0.877)



Entry 17:
Below is a relaxed structure of Pm4Cu2C, with properties calculated at the PBE level.

Crystal system = tetragonal
E_tot = -5.2163 eV/atom

Cell lengths 5.071, 5.071, 13.798 Å; angles 90.00, 90.00, 90.00 degrees
Space group I4/mmm (No. 139)
Symmetry-distinct sites (fractional):
Pm (0.000, 0.000, 0.181)
Pm (0.000, 0.500, 0.000)
Cu (0.000, 0.000, 0.385)
C (0.000, 0.000, 0.000)



Entry 18:
Below is a relaxed structure of CrSiPt2, with properties calculated at the PBE level.

Crystal system = trigonal
E_tot = -6.9150 eV/atom
Energy relative to the elements, uncorrected = -0.133 eV per atom

Cell lengths 2.8037, 2.8037, 25.0480 Å; angles 90.00, 90.00, 120.00 degrees
Space group R-3m (No. 166, hexagonal axes)
Symmetry-distinct sites (fractional):
Cr (0.0000, 0.0000, 0.0000)
Si (0.0000, 0.0000, 0.5000)
Pt (0.0000, 0.0000, 0.2468)



Entry 19:
Below is a relaxed structure of LiCrIn2Fe, with properties calculated at the PBE level.

Crystal system = tetragonal
E_tot = -4.0792 eV/atom

Cell lengths 5.114, 5.114, 4.607 Å; angles 90.00, 90.00, 90.00 degrees
Space group P4/mmm (No. 123)
Symmetry-distinct sites (fractional):
Li (0.000, 0.000, 0.000)
Cr (0.000, 0.000, 0.500)
In (0.000, 0.500, 0.500)
Fe (0.500, 0.500, 0.000)